(i)
Density functional theory data (GGA-PBE) for a relaxed structure of ZrBrN2F.

Cell and atoms, written as extended XYZ:
```
5
Lattice="4.429 0.000 0.000 0.000 4.429 0.000 0.000 0.000 4.206" Properties=species:S:1:pos:R:3 pbc="T T T"
N 0.000 2.214 0.000
N 2.214 0.000 0.000
Br 2.214 2.214 2.103
Zr 0.000 0.000 0.000
F 0.000 0.000 2.103
```

Summary:
- Crystal system: tetragonal
- Spin magnetization: 0.6324 μB per atom
- Density of states at the Fermi level: 4.45 states/eV/f.u.
- Space group: P4/mmm, No. 123

***

(ii)
Density functional theory data (GGA-PBE) for a relaxed structure of ZrBrN2F.

Cell and atoms, written as extended XYZ:
```
5
Lattice="4.157 0.000 0.000 0.000 4.157 0.000 0.000 0.000 4.008" Properties=species:S:1:pos:R:3 pbc="T T T"
N 0.000 2.078 0.000
N 2.078 0.000 0.000
Br 0.000 0.000 0.000
Zr 2.078 2.078 2.004
F 0.000 0.000 2.004
```

Summary:
- Crystal system: tetragonal
- Spin magnetization: 0.0163 μB per atom
- Density of states at the Fermi level: 2.56 states/eV/f.u.
- Space group: P4/mmm, No. 123

***

Stability verdict: (i), ahead by 1235 meV per atom

***

(i)
Density functional theory data (GGA-PBE) for a relaxed structure of Na2BrF.

Cell and atoms, written as extended XYZ:
```
8
Lattice="4.331 0.000 -0.003 0.000 4.331 -0.003 0.005 0.005 8.793" Properties=species:S:1:pos:R:3 pbc="T T T"
Na 3.253 3.253 7.362
Na 3.250 1.085 4.394
Na 1.083 1.083 1.426
Na 1.085 3.250 4.394
Br 1.088 1.088 7.248
Br 3.248 3.248 1.539
F 1.085 1.085 3.687
F 3.251 3.251 5.101
```

Summary:
- Crystal system: tetragonal
- Spin magnetization: 0.0000 μB per atom
- Density of states at the Fermi level: 0.00 states/eV/f.u.
- Space group: P4/nmm, No. 129

***

(ii)
Density functional theory data (GGA-PBE) for a relaxed structure of Na2BrF.

Cell and atoms, written as extended XYZ:
```
8
Lattice="-4.748 3.364 3.057 -3.440 0.231 -5.597 -5.982 -1.786 -0.257" Properties=species:S:1:pos:R:3 pbc="T T T"
Na -4.502 1.408 0.895
Na -4.630 0.395 -2.928
Na -7.840 0.028 -1.606
Na -11.368 1.787 -1.954
Br 0.000 0.000 0.000
Br -7.412 1.688 0.765
F -4.094 1.798 -1.270
F -6.758 0.121 -3.562
```

Summary:
- Crystal system: tetragonal
- Spin magnetization: 0.0000 μB per atom
- Density of states at the Fermi level: 0.00 states/eV/f.u.
- Space group: I-42d, No. 122

***

Stability verdict: (i), ahead by 55 meV per atom

***

(i)
Density functional theory data (GGA-PBE) for a relaxed structure of Na2BrF.

Cell and atoms, written as extended XYZ:
```
4
Lattice="-0.770 2.579 -2.583 -3.398 1.531 -0.152 0.601 6.206 3.323" Properties=species:S:1:pos:R:3 pbc="T T T"
Na 0.027 4.813 2.102
Na -0.821 2.752 0.298
Br -2.185 8.930 1.485
F -1.772 5.186 0.318
```

Summary:
- Crystal system: trigonal
- Spin magnetization: 0.0000 μB per atom
- Density of states at the Fermi level: 0.00 states/eV/f.u.
- Space group: R3m, No. 160

***

(ii)
Density functional theory data (GGA-PBE) for a relaxed structure of Na2BrF.

Cell and atoms, written as extended XYZ:
```
4
Lattice="3.811 -0.002 -0.003 -1.906 3.300 0.003 -1.900 -1.102 6.274" Properties=species:S:1:pos:R:3 pbc="T T T"
Na 0.004 -0.002 5.012
Na 0.002 2.198 1.261
Br -1.903 1.099 3.138
F 1.912 -1.104 6.271
```

Summary:
- Crystal system: trigonal
- Spin magnetization: 0.0000 μB per atom
- Density of states at the Fermi level: 0.00 states/eV/f.u.
- Space group: R-3m, No. 166

***

Stability verdict: (ii), ahead by 66 meV per atom

***

(i)
Density functional theory data (GGA-PBE) for a relaxed structure of NaBrF.

Cell and atoms, written as extended XYZ:
```
6
Lattice="-4.073 1.701 -1.176 -1.521 -4.053 -0.597 1.897 4.569 8.891" Properties=species:S:1:pos:R:3 pbc="T T T"
Na -3.371 0.508 3.527
Na -0.326 1.710 3.591
Br -0.528 3.504 6.881
Br -3.169 -1.286 0.237
F -1.262 -0.334 3.876
F -2.435 2.552 3.242
```

Summary:
- Crystal system: monoclinic
- Spin magnetization: 0.0000 μB per atom
- Density of states at the Fermi level: 0.00 states/eV/f.u.
- Space group: C2/m, No. 12

***

(ii)
Density functional theory data (GGA-PBE) for a relaxed structure of NaBrF.

Cell and atoms, written as extended XYZ:
```
3
Lattice="-3.605 -1.434 4.773 -0.117 -3.487 -1.136 2.631 1.088 2.314" Properties=species:S:1:pos:R:3 pbc="T T T"
Na 1.113 -0.676 1.960
Br -1.605 -2.918 3.196
F -0.600 -0.239 0.795
```

Summary:
- Crystal system: hexagonal
- Spin magnetization: 0.3354 μB per atom
- Density of states at the Fermi level: 3.62 states/eV/f.u.
- Space group: P-6m2, No. 187

***

Stability verdict: (i), ahead by 352 meV per atom

***

(i)
Density functional theory data (GGA-PBE) for a relaxed structure of NaBr2F8.

Cell and atoms, written as extended XYZ:
```
11
Lattice="-1.383 -1.104 -5.671 -5.075 -2.555 1.735 0.750 6.542 1.655" Properties=species:S:1:pos:R:3 pbc="T T T"
Na -3.229 -1.829 -1.968
Br -1.931 1.804 -2.992
Br -3.777 1.079 0.711
F -2.384 0.025 -3.474
F -2.169 3.512 1.897
F -1.549 3.555 -2.366
F 0.023 4.542 0.049
F -5.314 -1.326 -0.619
F -5.070 -1.400 -3.655
F -2.628 0.099 -0.438
F -3.741 2.525 -0.518
```

Summary:
- Crystal system: tetragonal
- Spin magnetization: 0.0943 μB per atom
- Density of states at the Fermi level: 6.37 states/eV/f.u.
- Space group: I422, No. 97

***

(ii)
Density functional theory data (GGA-PBE) for a relaxed structure of NaBr2F8.

Cell and atoms, written as extended XYZ:
```
11
Lattice="6.034 0.000 0.000 0.000 5.778 0.000 0.000 -2.889 5.004" Properties=species:S:1:pos:R:3 pbc="T T T"
Na 3.017 0.000 0.000
Br 5.744 2.889 1.668
Br 0.290 0.000 3.336
F 4.451 0.000 3.336
F 1.583 2.889 1.668
F 1.528 0.000 1.799
F 4.506 2.889 3.205
F 4.506 1.558 0.899
F 1.528 1.331 4.104
F 1.528 -1.331 4.104
F 4.506 4.220 0.899
```

Summary:
- Crystal system: trigonal
- Spin magnetization: 0.0000 μB per atom
- Density of states at the Fermi level: 8.51 states/eV/f.u.
- Space group: P-3m1, No. 164

***

Stability verdict: (i), ahead by 391 meV per atom

***

(i)
Density functional theory data (GGA-PBE) for a relaxed structure of Na4Br3F.

Cell and atoms, written as extended XYZ:
```
8
Lattice="5.822 0.000 0.000 0.000 5.822 0.000 0.000 0.000 5.822" Properties=species:S:1:pos:R:3 pbc="T T T"
Na 2.911 0.000 0.000
Na 0.000 2.911 0.000
Na 0.000 0.000 2.911
Na 2.911 2.911 2.911
Br 0.000 2.911 2.911
Br 2.911 0.000 2.911
Br 2.911 2.911 0.000
F 0.000 0.000 0.000
```

Summary:
- Crystal system: cubic
- Spin magnetization: 0.0177 μB per atom
- Density of states at the Fermi level: 0.00 states/eV/f.u.
- Space group: Pm-3m, No. 221

***

(ii)
Density functional theory data (GGA-PBE) for a relaxed structure of Na4Br3F.

Cell and atoms, written as extended XYZ:
```
16
Lattice="-1.905 3.942 -4.171 2.987 -4.803 -5.905 -8.168 -4.470 -0.495" Properties=species:S:1:pos:R:3 pbc="T T T"
Na 2.571 -4.079 -5.583
Na -0.661 1.628 -3.802
Na -0.965 -2.196 -2.226
Na -1.341 -2.340 -6.574
Na -1.936 -5.563 -5.633
Na -4.861 -0.491 -3.181
Na -4.874 -4.273 -6.788
Na -5.600 -4.733 -2.507
Br 1.506 -1.937 -7.361
Br -0.047 -4.063 -4.287
Br -2.206 -0.584 -4.396
Br -3.755 -2.718 -1.312
Br -6.089 -2.709 -4.631
Br -4.332 -6.408 -4.547
F 0.509 -0.805 -1.123
F -2.615 -4.145 -7.238
```

Summary:
- Crystal system: orthorhombic
- Spin magnetization: 0.0000 μB per atom
- Density of states at the Fermi level: 0.00 states/eV/f.u.
- Space group: Pmn2_1, No. 31

***

Stability verdict: (ii), ahead by 53 meV per atom